[1]
# LaSbRu2 (GGA-PBE, optimized geometry)
# Energy (eV per atom): -7.119
# Fermi-level density of states (states/eV/cell): 19.61
# Volume (Å³ per atom): 22.93
data_LaSbRu2
_cell_length_a 4.6236
_cell_length_b 4.6236
_cell_length_c 14.8609
_cell_angle_alpha 90.00
_cell_angle_beta 90.00
_cell_angle_gamma 120.00
_space_group_name_H-M_alt 'R -3 m'
_space_group_IT_number 166
_space_group_name_Hall '-R 3 2"'
loop_
_atom_site_label
_atom_site_type_symbol
_atom_site_fract_x
_atom_site_fract_y
_atom_site_fract_z
La1 La 0.0000 0.0000 0.0000
Sb1 Sb 0.0000 0.0000 0.5000
Ru1 Ru 0.0000 0.0000 0.1893

***

[2]
# La2Sb2Ru (GGA-PBE, optimized geometry)
# Energy (eV per atom): -6.174
# Fermi-level density of states (states/eV/cell): 3.92
# Volume (Å³ per atom): 25.96
data_La2Sb2Ru
_cell_length_a 7.095
_cell_length_b 7.095
_cell_length_c 5.157
_cell_angle_alpha 90.00
_cell_angle_beta 90.00
_cell_angle_gamma 90.00
_space_group_name_H-M_alt 'P 4/m b m'
_space_group_IT_number 127
_space_group_name_Hall '-P 4 2ab'
loop_
_atom_site_label
_atom_site_type_symbol
_atom_site_fract_x
_atom_site_fract_y
_atom_site_fract_z
La1 La 0.172 0.328 0.000
Sb1 Sb 0.147 0.647 0.500
Ru1 Ru 0.000 0.000 0.500

***

[3]
# La4SbRu (GGA-PBE, optimized geometry)
# Energy (eV per atom): -6.077
# Fermi-level density of states (states/eV/cell): 10.95
# Energy above the most stable polymorph in this dataset (eV per formula unit): 0.00
# Volume (Å³ per atom): 31.71
data_La4SbRu
_cell_length_a 6.427
_cell_length_b 6.979
_cell_length_c 8.502
_cell_angle_alpha 90.00
_cell_angle_beta 93.80
_cell_angle_gamma 90.00
_space_group_name_H-M_alt 'P 1 21/m 1'
_space_group_IT_number 11
loop_
_space_group_symop_operation_xyz
'x,y,z'
'-x,-y,-z'
'-x,y+1/2,-z'
'x,-y+1/2,z'
loop_
_atom_site_label
_atom_site_type_symbol
_atom_site_fract_x
_atom_site_fract_y
_atom_site_fract_z
La1 La 0.092 0.250 0.088
La2 La 0.162 0.750 0.391
La3 La 0.401 0.505 0.786
Sb1 Sb 0.299 0.250 0.454
Ru1 Ru 0.309 0.750 0.080

***

[4]
# La2SbRu (GGA-PBE, optimized geometry)
# Energy (eV per atom): -6.279
# Fermi-level density of states (states/eV/cell): 8.66
# Volume (Å³ per atom): 27.51
data_La2SbRu
_cell_length_a 8.236
_cell_length_b 8.236
_cell_length_c 6.489
_cell_angle_alpha 90.00
_cell_angle_beta 90.00
_cell_angle_gamma 90.00
_space_group_name_H-M_alt 'I -4 2 d'
_space_group_IT_number 122
_space_group_name_Hall 'I -4 2bw'
loop_
_atom_site_label
_atom_site_type_symbol
_atom_site_fract_x
_atom_site_fract_y
_atom_site_fract_z
La1 La 0.187 0.250 0.125
Sb1 Sb 0.000 0.000 0.500
Ru1 Ru 0.000 0.000 0.000

***

[5]
# LaSb4Ru (GGA-PBE, optimized geometry)
# Energy (eV per atom): -4.775
# Fermi-level density of states (states/eV/cell): 21.73
# Volume (Å³ per atom): 27.39
data_LaSb4Ru
_cell_length_a 8.695
_cell_length_b 8.695
_cell_length_c 8.695
_cell_angle_alpha 90.00
_cell_angle_beta 90.00
_cell_angle_gamma 90.00
_space_group_name_H-M_alt 'F -4 3 m'
_space_group_IT_number 216
_space_group_name_Hall 'F -4 2 3'
loop_
_atom_site_label
_atom_site_type_symbol
_atom_site_fract_x
_atom_site_fract_y
_atom_site_fract_z
La1 La 0.000 0.000 0.000
Sb1 Sb 0.124 0.124 0.376
Ru1 Ru 0.250 0.250 0.750

***

[6]
# LaSb2Ru (GGA-PBE, optimized geometry)
# Energy (eV per atom): -6.206
# Fermi-level density of states (states/eV/cell): 8.63
# Volume (Å³ per atom): 24.58
data_LaSb2Ru
_cell_length_a 4.4432
_cell_length_b 4.4432
_cell_length_c 17.2462
_cell_angle_alpha 90.00
_cell_angle_beta 90.00
_cell_angle_gamma 120.00
_space_group_name_H-M_alt 'R -3 m'
_space_group_IT_number 166
_space_group_name_Hall '-R 3 2"'
loop_
_atom_site_label
_atom_site_type_symbol
_atom_site_fract_x
_atom_site_fract_y
_atom_site_fract_z
La1 La 0.0000 0.0000 0.0000
Sb1 Sb 0.0000 0.0000 0.2235
Ru1 Ru 0.0000 0.0000 0.5000

***

[7]
# La2SbRu (GGA-PBE, optimized geometry)
# Energy (eV per atom): -6.326
# Fermi-level density of states (states/eV/cell): 2.56
# Volume (Å³ per atom): 26.85
data_La2SbRu
_cell_length_a 4.131
_cell_length_b 4.052
_cell_length_c 6.535
_cell_angle_alpha 90.00
_cell_angle_beta 100.94
_cell_angle_gamma 90.00
_space_group_name_H-M_alt 'P 1 2/m 1'
_space_group_IT_number 10
loop_
_space_group_symop_operation_xyz
'x,y,z'
'-x,-y,-z'
'-x,y,-z'
'x,-y,z'
loop_
_atom_site_label
_atom_site_type_symbol
_atom_site_fract_x
_atom_site_fract_y
_atom_site_fract_z
La1 La 0.114 0.000 0.268
Sb1 Sb 0.500 0.500 0.000
Ru1 Ru 0.500 0.500 0.500

***

[8]
# La2SbRu2 (GGA-PBE, optimized geometry)
# Energy (eV per atom): -6.338
# Fermi-level density of states (states/eV/cell): 7.45
# Energy above the most stable polymorph in this dataset (eV per formula unit): 3.00
# Volume (Å³ per atom): 23.74
data_La2SbRu2
_cell_length_a 8.411
_cell_length_b 8.411
_cell_length_c 3.356
_cell_angle_alpha 90.00
_cell_angle_beta 90.00
_cell_angle_gamma 90.00
_space_group_name_H-M_alt 'P 4/m b m'
_space_group_IT_number 127
_space_group_name_Hall '-P 4 2ab'
loop_
_atom_site_label
_atom_site_type_symbol
_atom_site_fract_x
_atom_site_fract_y
_atom_site_fract_z
La1 La 0.138 0.362 0.000
Sb1 Sb 0.000 0.000 0.000
Ru1 Ru 0.178 0.678 0.500

***

[9]
# La3Sb2Ru (GGA-PBE, optimized geometry)
# Energy (eV per atom): -6.299
# Fermi-level density of states (states/eV/cell): 16.55
# Volume (Å³ per atom): 29.49
data_La3Sb2Ru
_cell_length_a 12.822
_cell_length_b 4.584
_cell_length_c 12.041
_cell_angle_alpha 90.00
_cell_angle_beta 90.00
_cell_angle_gamma 90.00
_space_group_name_H-M_alt 'P n m a'
_space_group_IT_number 62
loop_
_space_group_symop_operation_xyz
'x,y,z'
'-x,-y,-z'
'-x+1/2,-y,z+1/2'
'x+1/2,y,-z+1/2'
'x+1/2,-y+1/2,-z+1/2'
'-x+1/2,y+1/2,z+1/2'
'-x,y+1/2,-z'
'x,-y+1/2,z'
loop_
_atom_site_label
_atom_site_type_symbol
_atom_site_fract_x
_atom_site_fract_y
_atom_site_fract_z
La1 La 0.054 0.250 0.130
La2 La 0.120 0.750 0.549
La3 La 0.238 0.250 0.791
Sb1 Sb 0.005 0.750 0.312
Sb2 Sb 0.194 0.750 0.995
Ru1 Ru 0.126 0.250 0.358

***

[10]
# La2SbRu (GGA-PBE, optimized geometry)
# Energy (eV per atom): -6.345
# Fermi-level density of states (states/eV/cell): 1.86
# Volume (Å³ per atom): 26.35
data_La2SbRu
_cell_length_a 3.520
_cell_length_b 3.520
_cell_length_c 8.505
_cell_angle_alpha 90.00
_cell_angle_beta 90.00
_cell_angle_gamma 90.00
_space_group_name_H-M_alt 'P 4/m m m'
_space_group_IT_number 123
_space_group_name_Hall '-P 4 2'
loop_
_atom_site_label
_atom_site_type_symbol
_atom_site_fract_x
_atom_site_fract_y
_atom_site_fract_z
La1 La 0.000 0.000 0.210
Sb1 Sb 0.500 0.500 0.500
Ru1 Ru 0.500 0.500 0.000

***

[11]
# La2SbRu (GGA-PBE, optimized geometry)
# Energy (eV per atom): -6.180
# Fermi-level density of states (states/eV/cell): 5.07
# Volume (Å³ per atom): 31.00
data_La2SbRu
_cell_length_a 4.393
_cell_length_b 4.410
_cell_length_c 6.400
_cell_angle_alpha 90.00
_cell_angle_beta 90.00
_cell_angle_gamma 90.00
_space_group_name_H-M_alt 'P m m 2'
_space_group_IT_number 25
loop_
_space_group_symop_operation_xyz
'x,y,z'
'-x,-y,z'
'-x,y,z'
'x,-y,z'
loop_
_atom_site_label
_atom_site_type_symbol
_atom_site_fract_x
_atom_site_fract_y
_atom_site_fract_z
La1 La 0.000 0.000 0.000
La2 La 0.500 0.500 0.380
Sb1 Sb 0.500 0.500 0.876
Ru1 Ru 0.000 0.000 0.377

***

[12]
# La2SbRu (GGA-PBE, optimized geometry)
# Energy (eV per atom): -6.173
# Fermi-level density of states (states/eV/cell): 11.29
# Volume (Å³ per atom): 25.70
data_La2SbRu
_cell_length_a 4.465
_cell_length_b 4.465
_cell_length_c 10.316
_cell_angle_alpha 90.00
_cell_angle_beta 90.00
_cell_angle_gamma 90.00
_space_group_name_H-M_alt 'I -4 m 2'
_space_group_IT_number 119
_space_group_name_Hall 'I -4 -2'
loop_
_atom_site_label
_atom_site_type_symbol
_atom_site_fract_x
_atom_site_fract_y
_atom_site_fract_z
La1 La 0.000 0.000 0.000
La2 La 0.000 0.500 0.250
Sb1 Sb 0.000 0.000 0.500
Ru1 Ru 0.000 0.500 0.750

***

| no. | formation energy without anion corrections (meV per atom) |
| --- | --- |
| 1 | -219 |
| 2 | -698 |
| 3 | -559 |
| 4 | -465 |
| 5 | 340 |
| 6 | -594 |
| 7 | -513 |
| 8 | 168 |
| 9 | -916 |
| 10 | -532 |
| 11 | -367 |
| 12 | -360 |